(1)
Density functional theory data (PBE) for an optimized crystal structure of Pr6ZnSi2I3.

Summary:
The uncorrected formation energy comes out at -9.7 eV/f.u. The calculation puts the density of states at the Fermi level at 15.7 states/eV per cell.

a b c (Å): 7.552 13.097 8.112
angles (deg): 90.00 108.13 90.00
Space group C2/m (No. 12)
One atom of each set of equivalent atoms:
Pr 0.229 0.000 0.206 [4 per cell]
Pr 0.238 0.330 0.205 [8 per cell]
Zn 0.000 0.500 0.000 [2 per cell]
Si 0.000 0.166 0.000 [4 per cell]
I 0.000 0.000 0.500 [2 per cell]
I 0.000 0.333 0.500 [4 per cell]

***

(2)
Density functional theory data (PBE) for an optimized crystal structure of Pr8Zn3SiI4.

Summary:
The uncorrected formation energy comes out at -10.4 eV/f.u. The calculation puts the density of states at the Fermi level at 47.1 states/eV per cell.

a b c (Å): 8.6690 8.6690 23.3684
angles (deg): 90.00 90.00 120.00
Space group R-3m (No. 166, hexagonal axes)
One atom of each set of equivalent atoms:
Pr 0.0000 0.0000 0.2393 [6 per cell]
Pr 0.0053 0.5026 0.2370 [18 per cell]
Zn 0.0000 0.5000 0.5000 [9 per cell]
Si 0.0000 0.0000 0.5000 [3 per cell]
I 0.0000 0.0000 0.0000 [3 per cell]
I 0.0000 0.5000 0.0000 [9 per cell]

***

(3)
Density functional theory data (PBE) for an optimized crystal structure of PrSmI4.

Summary:
The uncorrected formation energy comes out at -7.7 eV/f.u. The calculation puts the density of states at the Fermi level at 3.5 states/eV per cell.

a b c (Å): 7.331 4.232 8.539
angles (deg): 90.00 106.11 90.00
Space group P2/m (No. 10)
One atom of each set of equivalent atoms:
Pr 0.000 0.000 0.000 [1 per cell]
Sm 0.500 0.500 0.000 [1 per cell]
I 0.254 0.500 0.251 [2 per cell]
I 0.259 0.000 0.754 [2 per cell]